VASP calculation (PBE) on a geometry-optimized ZrBePt structure.

crystal system: orthorhombic
calculated volume: 272.53 Å³ per cell
final energy: -124.7 eV for the cell shown

a b c (Å): 11.6568 3.5429 6.5990
angles (deg): 90.00 90.00 90.00
Positions (direct):
Zr 0.0399 0.0000 0.2404
Zr 0.2500 0.0000 0.8554
Zr 0.4601 0.0000 0.2404
Zr 0.5399 0.0000 0.7596
Zr 0.7500 0.0000 0.1446
Zr 0.9601 0.0000 0.7596
Be 0.0917 0.5000 0.9500
Be 0.2500 0.0000 0.4379
Be 0.4083 0.5000 0.9500
Be 0.5917 0.5000 0.0500
Be 0.7500 0.0000 0.5621
Be 0.9083 0.5000 0.0500
Pt 0.1260 0.5000 0.5802
Pt 0.2500 0.5000 0.1989
Pt 0.3740 0.5000 0.5802
Pt 0.6260 0.5000 0.4198
Pt 0.7500 0.5000 0.8011
Pt 0.8740 0.5000 0.4198

---

VASP calculation (PBE) on a geometry-optimized Zr2BePt structure.

crystal system: tetragonal
calculated volume: 70.36 Å³ per cell
final energy: -28.7 eV for the cell shown

a b c (Å): 3.1955 3.1955 6.8902
angles (deg): 90.00 90.00 90.00
Positions (direct):
Zr 0.0000 0.0000 0.0000
Zr 0.5000 0.5000 0.3160
Be 0.0000 0.0000 0.5848
Pt 0.5000 0.5000 0.7346

---

VASP calculation (PBE) on a geometry-optimized ZrBePt2 structure.

crystal system: tetragonal
calculated volume: 62.87 Å³ per cell
final energy: -27.1 eV for the cell shown

a b c (Å): 4.9620 4.9620 4.9620
angles (deg): 133.65 133.65 67.63
Positions (direct):
Zr 0.0000 0.0000 0.0000
Be 0.2500 0.7500 0.5000
Pt 0.5000 0.5000 0.0000
Pt 0.7500 0.2500 0.5000

---

Per-record spin magnetization, μB/cell: 0.00 0.00 0.00
Per-record formation enthalpy at 0 K, eV/atom: -0.822 -0.465 -0.682